# SnH (GGA-PBE, optimized geometry)
# **Polymorph energy (0 for the lowest one)**: 0.220 eV per atom
# **M_tot**: 0.0000 μB per atom
data_SnH
_space_group_name_H-M_alt 'C m m m'
_space_group_IT_number 65
_space_group_name_Hall '-C 2 2'
_cell_length_a 3.426
_cell_length_b 5.258
_cell_length_c 3.988
_cell_angle_alpha 90.00
_cell_angle_beta 90.00
_cell_angle_gamma 90.00
loop_
_atom_site_label
_atom_site_type_symbol
_atom_site_fract_x
_atom_site_fract_y
_atom_site_fract_z
Sn1 Sn 0.000 0.000 0.000
H1 H 0.000 0.000 0.500

=====

# LiHgSe2N (GGA-PBE, optimized geometry)
# **Polymorph energy (0 for the lowest one)**: 0.000 eV per atom
# **M_tot**: 0.5751 μB per atom
# **Energy relative to the elements, uncorrected**: 862 meV/atom
data_LiHgSe2N
_space_group_name_H-M_alt 'P 4/m m m'
_space_group_IT_number 123
_space_group_name_Hall '-P 4 2'
_cell_length_a 5.471
_cell_length_b 5.471
_cell_length_c 4.194
_cell_angle_alpha 90.00
_cell_angle_beta 90.00
_cell_angle_gamma 90.00
loop_
_atom_site_label
_atom_site_type_symbol
_atom_site_fract_x
_atom_site_fract_y
_atom_site_fract_z
Li1 Li 0.000 0.000 0.000
Hg1 Hg 0.500 0.500 0.500
Se1 Se 0.000 0.500 0.500
N1 N 0.500 0.500 0.000

=====

# Tl2Te3Pb2 (GGA-PBE, optimized geometry)
# **M_tot**: 0.0000 μB per atom
# **Energy relative to the elements, uncorrected**: -321 meV/atom
data_Tl2Te3Pb2
_space_group_name_H-M_alt 'C 1 2/m 1'
_space_group_IT_number 12
_space_group_name_Hall '-C 2y'
_cell_length_a 15.445
_cell_length_b 4.689
_cell_length_c 7.405
_cell_angle_alpha 90.00
_cell_angle_beta 91.31
_cell_angle_gamma 90.00
loop_
_atom_site_label
_atom_site_type_symbol
_atom_site_fract_x
_atom_site_fract_y
_atom_site_fract_z
Tl1 Tl 0.105 0.000 0.402
Te1 Te 0.000 0.000 0.000
Te2 Te 0.230 0.500 0.254
Pb1 Pb 0.137 0.500 0.890